Density functional theory data (GGA-PBE) for crystalline TaCrBr2 at its relaxed geometry.

**ΔE to the lowest computed polymorph**: 994 meV/atom
**Density of states at the Fermi level**: 3.18 states/eV/f.u.
**Formation energy without anion corrections**: 1050 meV/atom

a = 6.810 Å, b = 6.810 Å, c = 6.810 Å
α = 90.00°, β = 90.00°, γ = 90.00°
Element x y z (fractional)
Ta 0.000 0.000 0.000
Ta 0.000 0.500 0.500
Ta 0.500 0.000 0.500
Ta 0.500 0.500 0.000
Cr 0.250 0.250 0.750
Cr 0.250 0.750 0.250
Cr 0.750 0.250 0.250
Cr 0.750 0.750 0.750
Br 0.000 0.000 0.500
Br 0.000 0.500 0.000
Br 0.250 0.250 0.250
Br 0.250 0.750 0.750
Br 0.500 0.000 0.000
Br 0.500 0.500 0.500
Br 0.750 0.250 0.750
Br 0.750 0.750 0.250